Record 1
A plane-wave DFT calculation with PBEsol was carried out for Li2TlTe after structural relaxation.

Results
ΔE to the lowest computed polymorph	33.8	meV/atom
raw formation energy	-0.497	eV/atom
calculated density	6.2	g/cm³

abc: 6.173 6.173 6.173
angles: 142.15 139.84 56.37
Sites, in units of the cell vectors:
Li1 0.000 0.000 0.000
Li2 0.705 0.205 0.500
Tl1 0.262 0.762 0.500
Te1 0.524 0.524 0.000

Record 2
A plane-wave DFT calculation with PBEsol was carried out for Cr3BPt after structural relaxation.

Results
energy relative to the elements	1067	kJ/mol of formula units
calculated density	5.7	g/cm³

abc: 4.714 4.714 4.714
angles: 90.00 90.00 90.00
Sites, in units of the cell vectors:
Cr1 0.000 0.000 0.500
Cr2 0.000 0.500 0.000
Cr3 0.500 0.000 0.000
B1 0.500 0.500 0.500
Pt1 0.000 0.000 0.000

Record 3
A plane-wave DFT calculation with PBEsol was carried out for Ba2SrSb2 after structural relaxation.

Results
raw formation energy	-0.965	eV/atom
calculated density	5.2	g/cm³

abc: 9.198 9.198 4.588
angles: 90.00 90.00 90.00
Sites, in units of the cell vectors:
Ba1 0.133 0.367 0.000
Ba2 0.367 0.867 0.000
Ba3 0.633 0.133 0.000
Ba4 0.867 0.633 0.000
Sr1 0.000 0.000 0.500
Sr2 0.500 0.500 0.500
Sb1 0.171 0.671 0.500
Sb2 0.329 0.171 0.500
Sb3 0.671 0.829 0.500
Sb4 0.829 0.329 0.500

Record 4
A plane-wave DFT calculation with PBEsol was carried out for MnIn2Hg after structural relaxation.

Results
energy relative to the elements	73	kJ/mol of formula units
calculated density	10.0	g/cm³

abc: 3.056 3.101 8.521
angles: 90.00 90.00 90.00
Sites, in units of the cell vectors:
Mn1 0.000 0.000 0.000
In1 0.500 0.500 0.210
In2 0.500 0.500 0.790
Hg1 0.000 0.000 0.500

Record 5
A plane-wave DFT calculation with PBEsol was carried out for TcAg2PF after structural relaxation.

Results
raw formation energy	0.574	eV/atom
calculated density	7.2	g/cm³

abc: 4.770 4.770 3.700
angles: 90.00 90.00 90.00
Sites, in units of the cell vectors:
Tc1 0.000 0.000 0.000
Ag1 0.000 0.500 0.500
Ag2 0.500 0.000 0.500
P1 0.500 0.500 0.500
F1 0.500 0.500 0.000

Record 6
A plane-wave DFT calculation with PBEsol was carried out for ScNbGa3 after structural relaxation.

Results
ΔE to the lowest computed polymorph	0.0	meV/atom
energy relative to the elements	137	kJ/mol of formula units
calculated density	5.1	g/cm³

abc: 4.840 4.840 4.840
angles: 90.00 90.00 90.00
Sites, in units of the cell vectors:
Sc1 0.000 0.000 0.000
Nb1 0.500 0.500 0.500
Ga1 0.000 0.500 0.500
Ga2 0.500 0.000 0.500
Ga3 0.500 0.500 0.000